Density functional theory data (PBE-GGA) for crystalline Li4AcPb at its relaxed geometry.

abc: 5.8881 5.8881 5.8881
angles: 60.00 60.00 60.00
Atoms (fractional coordinates):
Pb1 0.0000 0.0000 0.0000
Ac1 0.2500 0.2500 0.2500
Li1 0.6250 0.6250 0.1249
Li2 0.6250 0.1249 0.6250
Li3 0.6250 0.6250 0.6250
Li4 0.1249 0.6250 0.6250

Results
Space-group type: F-43m, No. 216
Calculated formation energy, eV/atom: -0.12
Total magnetization, μB per formula unit: 0.1
Calculated total energy, eV per cell: -16.19

=====

Density functional theory data (PBE-GGA) for crystalline Li4AcPb4 at its relaxed geometry.

abc: 6.8679 6.8679 9.7668
angles: 90.00 90.00 90.00
Atoms (fractional coordinates):
Li1 0.2246 0.5000 0.9112
Li2 0.7754 0.5000 0.9112
Li3 0.5000 0.7754 0.0888
Li4 0.5000 0.2246 0.0888
Li5 0.0000 0.7246 0.4112
Li6 0.0000 0.2754 0.4112
Li7 0.2754 0.0000 0.5888
Li8 0.7246 0.0000 0.5888
Ac1 0.0000 0.0000 0.0000
Ac2 0.5000 0.5000 0.5000
Pb1 0.5000 0.7793 0.7973
Pb2 0.5000 0.2207 0.7973
Pb3 0.7793 0.5000 0.2027
Pb4 0.2207 0.5000 0.2027
Pb5 0.2793 0.0000 0.2973
Pb6 0.7207 0.0000 0.2973
Pb7 0.0000 0.2793 0.7027
Pb8 0.0000 0.7207 0.7027

Results
Space-group type: P4_2/nmc, No. 137
Calculated formation energy, eV/atom: -0.30
Total magnetization, μB per formula unit: 0.0
Calculated total energy, eV per cell: -58.55

=====

Density functional theory data (PBE-GGA) for crystalline Li3AcPb2 at its relaxed geometry.

abc: 4.8354 4.8354 15.2120
angles: 90.00 90.00 120.00
Atoms (fractional coordinates):
Li1 0.0000 0.0000 0.5000
Li2 0.0000 0.0000 0.0000
Li3 0.6667 0.3333 0.5770
Li4 0.3333 0.6667 0.0770
Li5 0.6667 0.3333 0.9230
Li6 0.3333 0.6667 0.4230
Ac1 0.0000 0.0000 0.2500
Ac2 0.0000 0.0000 0.7500
Pb1 0.6667 0.3333 0.3857
Pb2 0.3333 0.6667 0.6143
Pb3 0.3333 0.6667 0.8857
Pb4 0.6667 0.3333 0.1143

Results
Space-group type: P6_3/mmc, No. 194
Calculated formation energy, eV/atom: -0.38
Total magnetization, μB per formula unit: 0.0
Calculated total energy, eV per cell: -39.10
Energy relative to the lowest polymorph listed for this composition, eV/atom: 0.017

=====

Density functional theory data (PBE-GGA) for crystalline Li3AcPb2 at its relaxed geometry.

abc: 4.7310 9.7543 7.1922
angles: 113.88 90.00 104.03
Atoms (fractional coordinates):
Li1 0.3154 0.6307 0.5120
Li2 0.9269 0.8538 0.4496
Li3 0.6552 0.3105 0.8078
Li4 0.3448 0.6895 0.1922
Li5 0.0731 0.1462 0.5504
Li6 0.6846 0.3693 0.4880
Ac1 0.8791 0.7582 0.8926
Ac2 0.1209 0.2418 0.1074
Pb1 0.4900 0.9800 0.7242
Pb2 0.5100 0.0200 0.2758
Pb3 0.7674 0.5348 0.2410
Pb4 0.2326 0.4652 0.7590

Results
Space-group type: C2/m, No. 12
Calculated formation energy, eV/atom: -0.40
Total magnetization, μB per formula unit: 0.0
Calculated total energy, eV per cell: -39.30
Energy relative to the lowest polymorph listed for this composition, eV/atom: 0.000

=====

Density functional theory data (PBE-GGA) for crystalline Li2Ac2Pb5 at its relaxed geometry.

abc: 5.0182 5.0182 10.5097
angles: 90.00 90.00 90.00
Atoms (fractional coordinates):
Li1 0.5000 0.5000 0.1240
Li2 0.5000 0.5000 0.8760
Ac1 0.0000 0.0000 0.0000
Ac2 0.0000 0.0000 0.5000
Pb1 0.5000 0.0000 0.2524
Pb2 0.5000 0.0000 0.7476
Pb3 0.0000 0.5000 0.2524
Pb4 0.0000 0.5000 0.7476
Pb5 0.5000 0.5000 0.5000

Results
Space-group type: P4/mmm, No. 123
Calculated formation energy, eV/atom: -0.36
Total magnetization, μB per formula unit: 0.0
Calculated total energy, eV per cell: -33.79

=====

Density functional theory data (PBE-GGA) for crystalline LiAcPb2 at its relaxed geometry.

abc: 4.7512 8.0595 12.2104
angles: 90.00 90.00 90.00
Atoms (fractional coordinates):
Li1 0.2500 0.4922 0.1435
Li2 0.2500 0.9922 0.3565
Li3 0.7500 0.5078 0.8565
Li4 0.7500 0.0078 0.6435
Ac1 0.7500 0.8271 0.1346
Ac2 0.2500 0.1729 0.8654
Ac3 0.7500 0.3271 0.3654
Ac4 0.2500 0.6729 0.6346
Pb1 0.7500 0.8606 0.8400
Pb2 0.2500 0.1394 0.1600
Pb3 0.7500 0.3606 0.6600
Pb4 0.2500 0.6394 0.3400
Pb5 0.7500 0.8462 0.4380
Pb6 0.2500 0.6538 0.9380
Pb7 0.7500 0.3462 0.0620
Pb8 0.2500 0.1538 0.5620

Results
Space-group type: Pnma, No. 62
Calculated formation energy, eV/atom: -0.45
Total magnetization, μB per formula unit: 0.0
Calculated total energy, eV per cell: -61.00

=====

Density functional theory data (PBE-GGA) for crystalline LiAcPb6 at its relaxed geometry.

abc: 4.9643 4.9643 9.9015
angles: 90.00 90.00 90.00
Atoms (fractional coordinates):
Li1 0.0000 0.0000 0.5000
Ac1 0.0000 0.0000 0.0000
Pb1 0.5000 0.5000 0.0000
Pb2 0.5000 0.5000 0.5000
Pb3 0.5000 0.0000 0.2685
Pb4 0.5000 0.0000 0.7315
Pb5 0.0000 0.5000 0.2685
Pb6 0.0000 0.5000 0.7315

Results
Space-group type: P4/mmm, No. 123
Calculated formation energy, eV/atom: -0.24
Total magnetization, μB per formula unit: 0.0
Calculated total energy, eV per cell: -30.23

=====

Density functional theory data (PBE-GGA) for crystalline Li6AcPb6 at its relaxed geometry.

abc: 6.0620 7.7824 7.7824
angles: 78.36 67.08 67.08
Atoms (fractional coordinates):
Li1 0.0000 0.5000 0.0000
Li2 0.5000 0.5000 0.0000
Li3 0.0000 0.0000 0.5000
Li4 0.5000 0.0000 0.5000
Li5 0.5000 0.7545 0.2455
Li6 0.5000 0.2455 0.7545
Ac1 0.0000 0.0000 0.0000
Pb1 0.3418 0.6582 0.6582
Pb2 0.6582 0.3418 0.3418
Pb3 0.0000 0.3463 0.6537
Pb4 0.0000 0.6537 0.3463
Pb5 0.3259 0.1741 0.1741
Pb6 0.6741 0.8259 0.8259

Results
Space-group type: Immm, No. 71
Calculated formation energy, eV/atom: -0.31
Total magnetization, μB per formula unit: 0.0
Calculated total energy, eV per cell: -41.87

=====

Density functional theory data (PBE-GGA) for crystalline LiAc2Pb4 at its relaxed geometry.

abc: 5.1951 5.1951 9.2514
angles: 106.31 106.31 90.00
Atoms (fractional coordinates):
Li1 0.0000 0.0000 0.0000
Ac1 0.6422 0.6422 0.2844
Ac2 0.3578 0.3578 0.7156
Pb1 0.0000 0.5000 0.0000
Pb2 0.5000 0.0000 0.0000
Pb3 0.8399 0.8399 0.6799
Pb4 0.1601 0.1601 0.3201

Results
Space-group type: I4/mmm, No. 139
Calculated formation energy, eV/atom: -0.30
Total magnetization, μB per formula unit: 0.0
Calculated total energy, eV per cell: -27.10

=====

Density functional theory data (PBE-GGA) for crystalline Li4AcPb2 at its relaxed geometry.

abc: 4.8359 4.8359 9.0096
angles: 74.43 74.43 60.00
Atoms (fractional coordinates):
Li1 0.4369 0.4369 0.6892
Li2 0.1387 0.1387 0.5838
Li3 0.5631 0.5631 0.3108
Li4 0.8613 0.8613 0.4162
Ac1 0.0000 0.0000 0.0000
Pb1 0.2513 0.2513 0.2461
Pb2 0.7487 0.7487 0.7539

Results
Space-group type: R-3m, No. 166
Calculated formation energy, eV/atom: -0.39
Total magnetization, μB per formula unit: 0.0
Calculated total energy, eV per cell: -21.89
Energy relative to the lowest polymorph listed for this composition, eV/atom: 0.000

=====

Density functional theory data (PBE-GGA) for crystalline LiAc3Pb12 at its relaxed geometry.

abc: 5.0058 5.0058 20.1037
angles: 90.00 90.00 90.00
Atoms (fractional coordinates):
Li1 0.0000 0.0000 0.0000
Ac1 0.0000 0.0000 0.2464
Ac2 0.0000 0.0000 0.5000
Ac3 0.0000 0.0000 0.7536
Pb1 0.5000 0.5000 0.0000
Pb2 0.5000 0.5000 0.2416
Pb3 0.5000 0.5000 0.5000
Pb4 0.5000 0.5000 0.7584
Pb5 0.5000 0.0000 0.1127
Pb6 0.5000 0.0000 0.3720
Pb7 0.5000 0.0000 0.6280
Pb8 0.5000 0.0000 0.8873
Pb9 0.0000 0.5000 0.1127
Pb10 0.0000 0.5000 0.3720
Pb11 0.0000 0.5000 0.6280
Pb12 0.0000 0.5000 0.8873

Results
Space-group type: P4/mmm, No. 123
Calculated formation energy, eV/atom: -0.33
Total magnetization, μB per formula unit: 0.0
Calculated total energy, eV per cell: -64.00

=====

Density functional theory data (PBE-GGA) for crystalline Li4AcPb2 at its relaxed geometry.

abc: 4.8312 8.4813 8.4813
angles: 90.00 90.00 90.00
Atoms (fractional coordinates):
Li1 0.0000 0.1007 0.3484
Li2 0.0000 0.8993 0.6516
Li3 0.5000 0.1516 0.6007
Li4 0.5000 0.8484 0.3993
Li5 0.5000 0.3993 0.8484
Li6 0.5000 0.6007 0.1516
Li7 0.0000 0.3484 0.1007
Li8 0.0000 0.6516 0.8993
Ac1 0.5000 0.0000 0.0000
Ac2 0.0000 0.5000 0.5000
Pb1 0.0000 0.2130 0.7870
Pb2 0.0000 0.7870 0.2130
Pb3 0.5000 0.7130 0.7130
Pb4 0.5000 0.2870 0.2870

Results
Space-group type: P4_2/mnm, No. 136
Calculated formation energy, eV/atom: -0.39
Total magnetization, μB per formula unit: 0.0
Calculated total energy, eV per cell: -43.75
Energy relative to the lowest polymorph listed for this composition, eV/atom: 0.002